[1]
# OsRuCl2 | the Alexandria database | PBE | relaxed
data_OsRuCl2
_space_group_name_H-M_alt 'P 1'
_space_group_IT_number 1
_cell_length_a 3.005
_cell_length_b 3.005
_cell_length_c 9.740
_cell_angle_alpha 90.00
_cell_angle_beta 90.00
_cell_angle_gamma 123.88
loop_
_space_group_symop_operation_xyz
'x,y,z'
loop_
_atom_site_label
_atom_site_fract_x
_atom_site_fract_y
_atom_site_fract_z
Cl1 0.500 0.500 0.310
Os1 0.000 0.000 0.512
Cl2 0.000 0.000 0.939
Ru1 0.500 0.500 0.739
# N(E_F), states/eV per cell: 6.06
# Formation energy (no corrections), eV per atom: 0.560
# Spin magnetization, Bohr magnetons per cell: 0.00
# Total DFT energy (no corrections), eV per atom: -5.489

[2]
# OsRuCl2 | the Alexandria database | PBE | relaxed
data_OsRuCl2
_space_group_name_H-M_alt 'P 1'
_space_group_IT_number 1
_cell_length_a 4.366
_cell_length_b 4.366
_cell_length_c 4.366
_cell_angle_alpha 60.00
_cell_angle_beta 60.00
_cell_angle_gamma 60.00
loop_
_space_group_symop_operation_xyz
'x,y,z'
loop_
_atom_site_label
_atom_site_fract_x
_atom_site_fract_y
_atom_site_fract_z
Cl1 0.250 0.250 0.250
Cl2 0.750 0.750 0.750
Os1 0.500 0.500 0.500
Ru1 0.000 0.000 0.000
# N(E_F), states/eV per cell: 5.33
# Formation energy (no corrections), eV per atom: 1.421
# Spin magnetization, Bohr magnetons per cell: 0.00
# Total DFT energy (no corrections), eV per atom: -4.629

[3]
# OsRuCl2 | the Alexandria database | PBE | relaxed
data_OsRuCl2
_space_group_name_H-M_alt 'P 1'
_space_group_IT_number 1
_cell_length_a 8.496
_cell_length_b 8.496
_cell_length_c 8.496
_cell_angle_alpha 20.05
_cell_angle_beta 20.05
_cell_angle_gamma 20.05
loop_
_space_group_symop_operation_xyz
'x,y,z'
loop_
_atom_site_label
_atom_site_fract_x
_atom_site_fract_y
_atom_site_fract_z
Ru1 0.500 0.500 0.500
Cl1 0.091 0.091 0.091
Os1 0.000 0.000 0.000
Cl2 0.909 0.909 0.909
# N(E_F), states/eV per cell: 3.79
# Formation energy (no corrections), eV per atom: 0.774
# Spin magnetization, Bohr magnetons per cell: 0.00
# Total DFT energy (no corrections), eV per atom: -5.276